A relaxed Li2CaPmPt2 crystal, computed with PBE.

Cell: 4.3496 4.3496 7.5416 Å, 90.00 90.00 120.00°
Space group P-3m1 (No. 164)
Asymmetric unit:
Li (0.3333, 0.6667, 0.2327) [2 per cell]
Ca (0.0000, 0.0000, 0.0000) [1 per cell]
Pm (0.0000, 0.0000, 0.5000) [1 per cell]
Pt (0.3333, 0.6667, 0.7372) [2 per cell]

## Properties
ΔH_f (0 K) in eV per atom: -0.723
Total DFT energy (no corrections) in eV per atom: -4.50